(1)
Entry from the Alexandria database: an optimized crystal structure of LaSm2Ir (PBE-GGA).

```
data_LaSm2Ir
_cell_length_a 4.0839
_cell_length_b 4.0839
_cell_length_c 27.4829
_cell_angle_alpha 90.00
_cell_angle_beta 90.00
_cell_angle_gamma 120.00
_space_group_name_H-M_alt 'R 3 m'
_space_group_IT_number 160
_space_group_name_Hall 'R 3 -2"'
loop_
_atom_site_label
_atom_site_fract_x
_atom_site_fract_y
_atom_site_fract_z
La1 0.0000 0.0000 0.0000
Sm1 0.0000 0.0000 0.5530
Sm2 0.0000 0.0000 0.7758
Ir1 0.0000 0.0000 0.1643
```

size of the total moment	0.0	μB per formula unit
Fermi-level density of states	11.31	states/eV per cell
formation enthalpy at 0 K	-0.32	eV/atom
crystal system	trigonal
mass density	7.929	g/cm3
energy above the most stable polymorph in this dataset	173.9	meV/atom

=====

(2)
Entry from the Alexandria database: an optimized crystal structure of LaSmIr (PBE-GGA).

```
data_LaSmIr
_cell_length_a 6.8956
_cell_length_b 6.9001
_cell_length_c 7.0373
_cell_angle_alpha 90.00
_cell_angle_beta 93.08
_cell_angle_gamma 90.00
_space_group_name_H-M_alt 'C 1 2/m 1'
_space_group_IT_number 12
loop_
_space_group_symop_operation_xyz
'x,y,z'
'-x,-y,-z'
'-x,y,-z'
'x,-y,z'
'x+1/2,y+1/2,z'
'-x+1/2,-y+1/2,-z'
'-x+1/2,y+1/2,-z'
'x+1/2,-y+1/2,z'
loop_
_atom_site_label
_atom_site_fract_x
_atom_site_fract_y
_atom_site_fract_z
La1 0.2435 0.0000 0.3857
Sm1 0.0000 0.2543 0.0000
Ir1 0.2216 0.0000 0.7648
```

size of the total moment	0.0	μB per formula unit
Fermi-level density of states	11.59	states/eV per cell
formation enthalpy at 0 K	-0.57	eV/atom
crystal system	monoclinic
mass density	9.565	g/cm3
energy above the most stable polymorph in this dataset	29.2	meV/atom

=====

(3)
Entry from the Alexandria database: an optimized crystal structure of LaSm2Ir (PBE-GGA).

```
data_LaSm2Ir
_cell_length_a 3.8964
_cell_length_b 3.8964
_cell_length_c 32.1274
_cell_angle_alpha 90.00
_cell_angle_beta 90.00
_cell_angle_gamma 120.00
_space_group_name_H-M_alt 'R -3 m'
_space_group_IT_number 166
_space_group_name_Hall '-R 3 2"'
loop_
_atom_site_label
_atom_site_fract_x
_atom_site_fract_y
_atom_site_fract_z
La1 0.0000 0.0000 0.0000
Sm1 0.0000 0.0000 0.1156
Ir1 0.0000 0.0000 0.5000
```

size of the total moment	0.0	μB per formula unit
Fermi-level density of states	16.12	states/eV per cell
formation enthalpy at 0 K	-0.15	eV/atom
crystal system	trigonal
mass density	7.452	g/cm3
energy above the most stable polymorph in this dataset	342.1	meV/atom

=====

(4)
Entry from the Alexandria database: an optimized crystal structure of LaSmIr (PBE-GGA).

```
data_LaSmIr
_cell_length_a 7.0171
_cell_length_b 7.0171
_cell_length_c 7.0171
_cell_angle_alpha 90.00
_cell_angle_beta 90.00
_cell_angle_gamma 90.00
_space_group_name_H-M_alt 'F -4 3 m'
_space_group_IT_number 216
_space_group_name_Hall 'F -4 2 3'
loop_
_atom_site_label
_atom_site_fract_x
_atom_site_fract_y
_atom_site_fract_z
La1 0.0000 0.0000 0.0000
Sm1 0.0000 0.0000 0.5000
Ir1 0.2500 0.2500 0.2500
```

size of the total moment	0.0	μB per formula unit
Fermi-level density of states	10.38	states/eV per cell
formation enthalpy at 0 K	-0.56	eV/atom
crystal system	cubic
mass density	9.256	g/cm3
energy above the most stable polymorph in this dataset	35.3	meV/atom

=====

(5)
Entry from the Alexandria database: an optimized crystal structure of La2SmIr (PBE-GGA).

```
data_La2SmIr
_cell_length_a 3.9462
_cell_length_b 3.9462
_cell_length_c 32.0337
_cell_angle_alpha 90.00
_cell_angle_beta 90.00
_cell_angle_gamma 120.00
_space_group_name_H-M_alt 'R -3 m'
_space_group_IT_number 166
_space_group_name_Hall '-R 3 2"'
loop_
_atom_site_label
_atom_site_fract_x
_atom_site_fract_y
_atom_site_fract_z
La1 0.0000 0.0000 0.1137
Sm1 0.0000 0.0000 0.0000
Ir1 0.0000 0.0000 0.5000
```

size of the total moment	0.7	μB per formula unit
Fermi-level density of states	19.55	states/eV per cell
formation enthalpy at 0 K	-0.16	eV/atom
crystal system	trigonal
mass density	7.154	g/cm3
energy above the most stable polymorph in this dataset	322.8	meV/atom

=====

(6)
Entry from the Alexandria database: an optimized crystal structure of LaSm2Ir9 (PBE-GGA).

```
data_LaSm2Ir9
_cell_length_a 5.3805
_cell_length_b 5.3805
_cell_length_c 26.4413
_cell_angle_alpha 90.00
_cell_angle_beta 90.00
_cell_angle_gamma 120.00
_space_group_name_H-M_alt 'R -3 m'
_space_group_IT_number 166
_space_group_name_Hall '-R 3 2"'
loop_
_atom_site_label
_atom_site_fract_x
_atom_site_fract_y
_atom_site_fract_z
La1 0.0000 0.0000 0.0000
Sm1 0.0000 0.0000 0.1396
Ir1 0.0000 0.0000 0.3323
Ir2 0.0000 0.0000 0.5000
Ir3 0.0024 0.5012 0.0817
```

size of the total moment	0.0	μB per formula unit
Fermi-level density of states	37.14	states/eV per cell
formation enthalpy at 0 K	-0.55	eV/atom
crystal system	trigonal
mass density	16.304	g/cm3

=====

(7)
Entry from the Alexandria database: an optimized crystal structure of La2SmIr (PBE-GGA).

```
data_La2SmIr
_cell_length_a 3.9673
_cell_length_b 12.1045
_cell_length_c 10.0848
_cell_angle_alpha 90.00
_cell_angle_beta 90.00
_cell_angle_gamma 90.00
_space_group_name_H-M_alt 'C m c m'
_space_group_IT_number 63
_space_group_name_Hall '-C 2c 2'
loop_
_atom_site_label
_atom_site_fract_x
_atom_site_fract_y
_atom_site_fract_z
La1 0.0000 0.1402 0.0680
Sm1 0.0000 0.4141 0.2500
Ir1 0.0000 0.2691 0.7500
```

size of the total moment	0.0	μB per formula unit
Fermi-level density of states	21.33	states/eV per cell
formation enthalpy at 0 K	-0.44	eV/atom
crystal system	orthorhombic
mass density	8.509	g/cm3
energy above the most stable polymorph in this dataset	39.3	meV/atom

=====

(8)
Entry from the Alexandria database: an optimized crystal structure of La2Sm3Ir3 (PBE-GGA).

```
data_La2Sm3Ir3
_cell_length_a 13.0919
_cell_length_b 5.6957
_cell_length_c 13.8865
_cell_angle_alpha 90.00
_cell_angle_beta 91.02
_cell_angle_gamma 90.00
_space_group_name_H-M_alt 'C 1 m 1'
_space_group_IT_number 8
loop_
_space_group_symop_operation_xyz
'x,y,z'
'x,-y,z'
'x+1/2,y+1/2,z'
'x+1/2,-y+1/2,z'
loop_
_atom_site_label
_atom_site_fract_x
_atom_site_fract_y
_atom_site_fract_z
La1 0.0000 0.0000 0.0000
La2 0.0039 0.0000 0.3621
La3 0.1239 0.5000 0.5533
La4 0.3325 0.0000 0.8575
Sm1 0.1089 0.5000 0.8177
Sm2 0.2230 0.5000 0.0473
Sm3 0.2250 0.5000 0.3129
Sm4 0.3449 0.0000 0.4917
Sm5 0.4132 0.0000 0.1829
Sm6 0.4236 0.5000 0.6819
Ir1 0.0142 0.5000 0.9949
Ir2 0.0210 0.5000 0.3694
Ir3 0.3170 0.5000 0.8666
Ir4 0.3237 0.5000 0.4920
Ir5 0.3830 0.5000 0.1812
Ir6 0.4563 0.0000 0.6753
```

size of the total moment	0.0	μB per formula unit
Fermi-level density of states	21.30	states/eV per cell
formation enthalpy at 0 K	-0.54	eV/atom
crystal system	monoclinic
mass density	8.376	g/cm3

=====

(9)
Entry from the Alexandria database: an optimized crystal structure of La2Sm3Ir2 (PBE-GGA).

```
data_La2Sm3Ir2
_cell_length_a 12.4748
_cell_length_b 3.9278
_cell_length_c 9.2646
_cell_angle_alpha 90.00
_cell_angle_beta 115.65
_cell_angle_gamma 90.00
_space_group_name_H-M_alt 'C 1 2/m 1'
_space_group_IT_number 12
loop_
_space_group_symop_operation_xyz
'x,y,z'
'-x,-y,-z'
'-x,y,-z'
'x,-y,z'
'x+1/2,y+1/2,z'
'-x+1/2,-y+1/2,-z'
'-x+1/2,y+1/2,-z'
'x+1/2,-y+1/2,z'
loop_
_atom_site_label
_atom_site_fract_x
_atom_site_fract_y
_atom_site_fract_z
La1 0.1701 0.0000 0.3054
Sm1 0.0000 0.5000 0.5000
Sm2 0.1186 0.5000 0.9232
Ir1 0.1795 0.0000 0.7432
```

size of the total moment	0.0	μB per formula unit
Fermi-level density of states	16.53	states/eV per cell
formation enthalpy at 0 K	-0.54	eV/atom
crystal system	monoclinic
mass density	9.035	g/cm3

=====

(10)
Entry from the Alexandria database: an optimized crystal structure of LaSm2Ir (PBE-GGA).

```
data_LaSm2Ir
_cell_length_a 7.3560
_cell_length_b 9.7927
_cell_length_c 6.5852
_cell_angle_alpha 90.00
_cell_angle_beta 90.00
_cell_angle_gamma 90.00
_space_group_name_H-M_alt 'P n m a'
_space_group_IT_number 62
loop_
_space_group_symop_operation_xyz
'x,y,z'
'-x,-y,-z'
'-x+1/2,-y,z+1/2'
'x+1/2,y,-z+1/2'
'x+1/2,-y+1/2,-z+1/2'
'-x+1/2,y+1/2,z+1/2'
'-x,y+1/2,-z'
'x,-y+1/2,z'
loop_
_atom_site_label
_atom_site_fract_x
_atom_site_fract_y
_atom_site_fract_z
La1 0.0411 0.2500 0.1414
Sm1 0.1737 0.0664 0.6704
Ir1 0.1214 0.7500 0.4398
```

size of the total moment	0.0	μB per formula unit
Fermi-level density of states	19.35	states/eV per cell
formation enthalpy at 0 K	-0.49	eV/atom
crystal system	orthorhombic
mass density	8.847	g/cm3
energy above the most stable polymorph in this dataset	0.0	meV/atom

=====

(11)
Entry from the Alexandria database: an optimized crystal structure of LaSmIr2 (PBE-GGA).

```
data_LaSmIr2
_cell_length_a 7.1025
_cell_length_b 7.1025
_cell_length_c 7.1025
_cell_angle_alpha 90.00
_cell_angle_beta 90.00
_cell_angle_gamma 90.00
_space_group_name_H-M_alt 'F m -3 m'
_space_group_IT_number 225
_space_group_name_Hall '-F 4 2 3'
loop_
_atom_site_label
_atom_site_fract_x
_atom_site_fract_y
_atom_site_fract_z
La1 0.0000 0.0000 0.0000
Sm1 0.0000 0.0000 0.5000
Ir1 0.2500 0.2500 0.2500
```

size of the total moment	0.0	μB per formula unit
Fermi-level density of states	15.50	states/eV per cell
formation enthalpy at 0 K	-0.59	eV/atom
crystal system	cubic
mass density	12.490	g/cm3
energy above the most stable polymorph in this dataset	82.8	meV/atom

=====

(12)
Entry from the Alexandria database: an optimized crystal structure of La3SmIr3 (PBE-GGA).

```
data_La3SmIr3
_cell_length_a 8.7802
_cell_length_b 8.7802
_cell_length_c 17.2882
_cell_angle_alpha 90.00
_cell_angle_beta 90.00
_cell_angle_gamma 120.00
_space_group_name_H-M_alt 'R -3'
_space_group_IT_number 148
_space_group_name_Hall '-R 3'
loop_
_atom_site_label
_atom_site_fract_x
_atom_site_fract_y
_atom_site_fract_z
La1 0.0195 0.7316 0.1005
Sm1 0.0000 0.0000 0.3246
Ir1 0.0082 0.6300 0.9345
```

size of the total moment	0.0	μB per formula unit
Fermi-level density of states	24.40	states/eV per cell
formation enthalpy at 0 K	-0.67	eV/atom
crystal system	trigonal
mass density	9.873	g/cm3